[1]
LiZn4Ga3: optimized geometry, GGA-PBE.

Values from the calculation:
Crystal system ... orthorhombic
Energy ... -0.1460 Ry per atom
Formation energy ... 25 meV/atom
V ... 18.15 Å³ per atom

Cell lengths 6.7285, 6.7285, 6.7285 Å; angles 130.78, 64.98, 140.33 degrees
Atoms (fractional coordinates):
Li  0.0000  0.0000  0.0000
Zn  0.3067  0.0050  0.3017
Zn  0.4996  0.2508  0.7512
Zn  0.4996  0.7483  0.2488
Zn  0.7032  0.0050  0.6983
Ga  0.0001  0.5001  0.5000
Ga  0.3040  0.5048  0.7991
Ga  0.7057  0.5048  0.2009



[2]
Sm2DyZn9: optimized geometry, GGA-PBE.

Values from the calculation:
Crystal system ... trigonal
Energy ... -0.1783 Ry per atom
Formation energy ... -300 meV/atom
V ... 18.74 Å³ per atom

Cell lengths 9.2339, 9.2339, 9.2339 Å; angles 34.46, 34.46, 34.46 degrees
Atoms (fractional coordinates):
Sm  0.1398  0.1398  0.1398
Sm  0.8602  0.8602  0.8602
Dy  0.0000  0.0000  0.0000
Zn  0.0767  0.5833  0.5833
Zn  0.3347  0.3347  0.3347
Zn  0.4167  0.4167  0.9233
Zn  0.4167  0.9233  0.4167
Zn  0.5000  0.5000  0.5000
Zn  0.5833  0.0767  0.5833
Zn  0.5833  0.5833  0.0767
Zn  0.6653  0.6653  0.6653
Zn  0.9233  0.4167  0.4167



[3]
Nd4Y3Ho2: optimized geometry, GGA-PBE.

Values from the calculation:
Crystal system ... monoclinic
Energy ... -0.3876 Ry per atom
Formation energy ... 17 meV/atom
V ... 33.27 Å³ per atom

Cell lengths 6.2345, 6.2345, 10.8274 Å; angles 106.51, 106.51, 48.47 degrees
Atoms (fractional coordinates):
Nd  0.0002  0.0002  0.1683
Nd  0.9998  0.9998  0.8317
Nd  0.3330  0.3330  0.6112
Nd  0.6670  0.6670  0.3888
Y  0.0000  0.0000  0.5000
Y  0.3338  0.3338  0.9458
Y  0.6662  0.6662  0.0542
Ho  0.3321  0.3321  0.2762
Ho  0.6679  0.6679  0.7238



[4]
LiTmMgHg: optimized geometry, GGA-PBE.

Values from the calculation:
Crystal system ... cubic
Energy ... -0.1745 Ry per atom
Formation energy ... -303 meV/atom
V ... 21.24 Å³ per atom

Cell lengths 4.9343, 4.9343, 4.9343 Å; angles 60.00, 60.00, 60.00 degrees
Atoms (fractional coordinates):
Li  0.0000  0.0000  0.0000
Tm  0.7500  0.7500  0.7500
Mg  0.2500  0.2500  0.2500
Hg  0.5000  0.5000  0.5000